1.
Below is TaCo2Os after structural relaxation, with properties calculated at the PBE-GGA level.

Output
Polymorph energy (0 for the lowest one) in eV/f.u.: 0.90

```
4
Lattice="0.0000 3.0232 3.0232 3.0232 0.0000 3.0232 3.0232 3.0232 0.0000" Properties=species:S:1:pos:R:3 pbc="T T T"
Ta 0.0000 0.0000 0.0000
Co 1.5116 1.5116 1.5116
Co 3.0232 3.0232 3.0232
Os 4.5348 4.5348 4.5348
```

=====

2.
Below is TaCo6Os after structural relaxation, with properties calculated at the PBE-GGA level.

Output
Total DFT energy (no corrections) in eV/atom: -8.234

```
32
Lattice="3.6097 -5.1068 0.0000 3.6097 5.1068 0.0000 0.0000 0.0000 10.2055" Properties=species:S:1:pos:R:3 pbc="T T T"
Ta 0.0000 0.0000 2.5333
Ta 0.0000 0.0000 7.6722
Ta 3.6097 2.5870 0.0000
Ta 3.6097 -2.5870 0.0000
Co 0.0000 0.0000 0.0000
Co 0.0000 0.0000 5.1028
Co 1.8401 1.3038 3.8479
Co 1.8401 1.3038 6.3576
Co 1.8451 1.2640 1.3102
Co 1.8451 1.2640 8.8953
Co 3.6097 2.5079 2.6150
Co 3.6097 2.5079 7.5905
Co 1.8451 -1.2640 1.3102
Co 1.8451 -1.2640 8.8953
Co 1.8401 -1.3038 3.8479
Co 1.8401 -1.3038 6.3576
Co 3.6097 0.0000 0.0000
Co 3.6097 0.0000 5.1028
Co 5.3793 1.3038 3.8479
Co 5.3793 1.3038 6.3576
Co 5.3744 1.2640 1.3102
Co 5.3744 1.2640 8.8953
Co 3.6097 -2.5079 2.6150
Co 3.6097 -2.5079 7.5905
Co 5.3744 -1.2640 1.3102
Co 5.3744 -1.2640 8.8953
Co 5.3793 -1.3038 3.8479
Co 5.3793 -1.3038 6.3576
Os 3.6097 2.6251 5.1028
Os 3.6097 0.0000 2.5422
Os 3.6097 0.0000 7.6633
Os 3.6097 -2.6251 5.1028
```

=====

3.
Below is TaCoOs3 after structural relaxation, with properties calculated at the PBE-GGA level.

Output
Polymorph energy (0 for the lowest one) in eV/f.u.: 0.00

```
5
Lattice="4.3817 0.0000 0.0000 0.0000 4.3817 0.0000 0.0000 0.0000 4.3817" Properties=species:S:1:pos:R:3 pbc="T T T"
Ta 0.0000 0.0000 0.0000
Co 2.1909 2.1909 2.1909
Os 0.0000 2.1909 2.1909
Os 2.1909 0.0000 2.1909
Os 2.1909 2.1909 0.0000
```

=====

4.
Below is TaCo2Os after structural relaxation, with properties calculated at the PBE-GGA level.

Output
Polymorph energy (0 for the lowest one) in eV/f.u.: 0.94

```
4
Lattice="2.6784 0.0000 0.0000 0.0000 2.6784 0.0000 0.0000 0.0000 7.3988" Properties=species:S:1:pos:R:3 pbc="T T T"
Ta 0.0000 0.0000 0.0000
Co 1.3392 1.3392 1.9733
Co 1.3392 1.3392 5.4254
Os 0.0000 0.0000 3.6994
```

=====

5.
Below is Ta2CoOs after structural relaxation, with properties calculated at the PBE-GGA level.

Output
Polymorph energy (0 for the lowest one) in eV/f.u.: 0.03

```
4
Lattice="3.0476 0.0000 0.0000 0.0000 4.2246 0.0000 -1.3578 0.0000 4.8816" Properties=species:S:1:pos:R:3 pbc="T T T"
Ta 0.0000 0.0000 0.0000
Ta 0.0244 2.1123 2.8697
Co 1.5255 2.1123 0.4722
Os 1.5353 0.0000 2.2505
```

=====

6.
Below is TaCoOs2 after structural relaxation, with properties calculated at the PBE-GGA level.

Output
Total DFT energy (no corrections) in eV/atom: -10.302

```
4
Lattice="2.7341 -3.7020 0.0000 2.7341 3.7020 0.0000 0.0000 0.0000 2.8647" Properties=species:S:1:pos:R:3 pbc="T T T"
Ta 0.0000 0.0000 0.0000
Co 2.7341 0.0000 0.0000
Os 1.3670 1.8510 1.4324
Os 1.3670 -1.8510 1.4324
```

=====

One value per record, in order, for density: 14.695, 12.794, 16.000, 15.300, 16.145, 17.763 g cm⁻³.
One value per record, in order, for magnetic moment: 3.0, 2.8, 2.8, 0.3, 0.0, 0.6 μB per formula unit.